Computed, not measured: a relaxed structure of NaCa2Ce at the GGA-PBE level of DFT.

```
4
Lattice="3.654 0.000 0.000 0.000 3.654 0.000 0.000 0.000 11.276" Properties=species:S:1:pos:R:3 pbc="T T T"
Na 0.000 0.000 0.000
Ca 1.827 1.827 2.881
Ca 1.827 1.827 8.396
Ce 0.000 0.000 5.638
```

Values from the calculation:
* theoretical density: 2.68 g/cm³
* energy relative to the lowest polymorph listed for this composition: 0.00 eV/f.u.
* calculated volume: 150.5 Å³/cell

Computed, not measured: a relaxed structure of MgTlCr2 at the GGA-PBE level of DFT.

```
12
Lattice="3.177 0.000 0.000 -1.588 2.751 0.000 0.000 0.000 28.096" Properties=species:S:1:pos:R:3 pbc="T T T"
Mg 0.000 0.000 0.000
Mg 0.000 1.834 18.731
Mg 1.588 0.917 9.365
Tl 0.000 0.000 14.048
Tl 0.000 1.834 4.683
Tl 1.588 0.917 23.413
Cr 0.000 0.000 7.038
Cr 0.000 0.000 21.058
Cr 0.000 1.834 11.693
Cr 0.000 1.834 25.768
Cr 1.588 0.917 2.328
Cr 1.588 0.917 16.403
```

Values from the calculation:
* calculated total energy: -5.0755 eV per atom
* theoretical density: 6.75 g/cm³
* calculated volume: 245.6 Å³/cell

Computed, not measured: a relaxed structure of Ca4DyHg5 at the GGA-PBE level of DFT.

```
10
Lattice="3.774 0.000 0.000 0.000 3.774 0.000 0.000 0.000 18.860" Properties=species:S:1:pos:R:3 pbc="T T T"
Ca 0.000 0.000 1.910
Ca 0.000 0.000 5.707
Ca 0.000 0.000 13.153
Ca 0.000 0.000 16.950
Dy 0.000 0.000 9.430
Hg 1.887 1.887 0.000
Hg 1.887 1.887 3.802
Hg 1.887 1.887 7.654
Hg 1.887 1.887 11.206
Hg 1.887 1.887 15.058
```

Values from the calculation:
* calculated total energy: -1.9540 eV per atom
* theoretical density: 8.20 g/cm³
* calculated volume: 268.6 Å³/cell

Computed, not measured: a relaxed structure of Ca2HRh at the GGA-PBE level of DFT.

```
12
Lattice="3.365 0.000 0.000 -1.682 2.914 0.000 0.000 0.000 24.175" Properties=species:S:1:pos:R:3 pbc="T T T"
Ca 0.000 0.000 2.498
Ca 0.000 0.000 21.677
Ca 0.000 1.943 13.619
Ca 0.000 1.943 18.615
Ca 1.682 0.971 5.560
Ca 1.682 0.971 10.557
H 0.000 0.000 12.088
H 0.000 1.943 4.029
H 1.682 0.971 20.146
Rh 0.000 0.000 0.000
Rh 0.000 1.943 16.117
Rh 1.682 0.971 8.058
```

Values from the calculation:
* theoretical density: 3.87 g/cm³
* energy relative to the lowest polymorph listed for this composition: 2.19 eV/f.u.
* calculated volume: 237.0 Å³/cell

Question: Number 2 is which compound?
Answer: MgTlCr2

Question: What is the calculated volume in the third record?
Answer: 268.6 Å³/cell